Record 1
VASP calculation (PBE) on an optimized crystal structure of ScSb2Rh.

For the magnetization, the calculation gives 0.000 μB/atom. As for the calculated total energy: -47.0 eV per cell. The uncorrected formation energy comes out at -0.395 eV per atom.

It has space group Immm (No. 71), with a = 4.291 Å, b = 5.584 Å, c = 7.140 Å, α = 90.00°, β = 90.00° and γ = 90.00°. The distinct sites, in fractional coordinates, are Sc at (0.000, 0.000, 0.000), Sb at (0.000, 0.500, 0.227) and Rh at (0.000, 0.000, 0.500).


Record 2
VASP calculation (PBE) on an optimized crystal structure of La2TiMnBi.

For the magnetization, the calculation gives 0.000 μB/atom. As for the calculated total energy: -28.9 eV per cell. Its formation energy is 37.26 kJ per mole of atoms.

It has space group P4/mmm (No. 123), with a = 5.098 Å, b = 5.098 Å, c = 5.202 Å, α = 90.00°, β = 90.00° and γ = 90.00°. The distinct sites, in fractional coordinates, are La at (0.000, 0.500, 0.000), Ti at (0.000, 0.000, 0.500), Mn at (0.500, 0.500, 0.000) and Bi at (0.500, 0.500, 0.500).


Record 3
VASP calculation (PBE) on an optimized crystal structure of Ce3AsSe2.

For the magnetization, the calculation gives 0.473 μB/atom. As for the calculated total energy: -79.3 eV per cell. The uncorrected formation energy comes out at -1.708 eV per atom.

It has space group Immm (No. 71), with a = 4.214 Å, b = 5.953 Å, c = 12.650 Å, α = 90.00°, β = 90.00° and γ = 90.00°. The distinct sites, in fractional coordinates, are Ce at (0.000, 0.000, 0.000), Ce at (0.000, 0.000, 0.336), As at (0.000, 0.500, 0.000) and Se at (0.000, 0.500, 0.333).


Record 4
VASP calculation (PBE) on an optimized crystal structure of Cr2CoSnH.

For the magnetization, the calculation gives 0.997 μB/atom. As for the calculated total energy: -33.0 eV per cell.

It has space group P4/mmm (No. 123), with a = 3.896 Å, b = 3.896 Å, c = 3.833 Å, α = 90.00°, β = 90.00° and γ = 90.00°. The distinct sites, in fractional coordinates, are Cr at (0.000, 0.500, 0.000), Co at (0.000, 0.000, 0.500), Sn at (0.500, 0.500, 0.500) and H at (0.000, 0.000, 0.000).


Record 5
VASP calculation (PBE) on an optimized crystal structure of Rb2LaCuBr6.

For the magnetization, the calculation gives 0.013 μB/atom. As for the calculated total energy: -72.6 eV per cell. The uncorrected formation energy comes out at -1.531 eV per atom.

It has space group P2_1/c (No. 14), with a = 8.299 Å, b = 8.981 Å, c = 13.051 Å, α = 90.00°, β = 129.04° and γ = 90.00°. The distinct sites, in fractional coordinates, are Rb at (0.228, 0.082, 0.247), La at (0.000, 0.000, 0.500), Cu at (0.500, 0.000, 0.000), Br at (0.129, 0.223, 0.953), Br at (0.243, 0.673, 0.952) and Br at (0.381, 0.029, 0.787).


Record 6
VASP calculation (PBE) on an optimized crystal structure of Ba4Pt.

For the magnetization, the calculation gives 0.000 μB/atom. As for the calculated total energy: -30.4 eV per cell. Its formation energy is -28.68 kJ per mole of atoms.

It has space group I4/m (No. 87), with a = 10.903 Å, b = 10.903 Å, c = 4.051 Å, α = 90.00°, β = 90.00° and γ = 90.00°. The distinct sites, in fractional coordinates, are Ba at (0.057, 0.240, 0.000) and Pt at (0.000, 0.000, 0.500).


Record 7
VASP calculation (PBE) on an optimized crystal structure of Ac2Pm4H.

For the magnetization, the calculation gives 0.000 μB/atom. As for the calculated total energy: -60.2 eV per cell.

It has space group I4/mmm (No. 139), with a = 5.117 Å, b = 5.117 Å, c = 18.176 Å, α = 90.00°, β = 90.00° and γ = 90.00°. The distinct sites, in fractional coordinates, are Ac at (0.000, 0.000, 0.156), Pm at (0.000, 0.000, 0.361), Pm at (0.000, 0.500, 0.000) and H at (0.000, 0.000, 0.500).


Record 8
VASP calculation (PBE) on an optimized crystal structure of Sr2Y2Te.

For the magnetization, the calculation gives 0.141 μB/atom. As for the calculated total energy: -39.2 eV per cell. The uncorrected formation energy comes out at -0.032 eV per atom.

It has space group P4/mbm (No. 127), with a = 8.505 Å, b = 8.505 Å, c = 5.598 Å, α = 90.00°, β = 90.00° and γ = 90.00°. The distinct sites, in fractional coordinates, are Sr at (0.157, 0.343, 0.000), Y at (0.142, 0.642, 0.500) and Te at (0.000, 0.000, 0.000).


Record 9
VASP calculation (PBE) on an optimized crystal structure of LiYMnSe2.

For the magnetization, the calculation gives 0.896 μB/atom. As for the calculated total energy: -24.2 eV per cell. The uncorrected formation energy comes out at 0.061 eV per atom.

It has space group P4/mmm (No. 123), with a = 4.738 Å, b = 4.738 Å, c = 4.742 Å, α = 90.00°, β = 90.00° and γ = 90.00°. The distinct sites, in fractional coordinates, are Li at (0.000, 0.000, 0.000), Y at (0.000, 0.000, 0.500), Mn at (0.500, 0.500, 0.500) and Se at (0.000, 0.500, 0.000).


Record 10
VASP calculation (PBE) on an optimized crystal structure of SiAg2Ru.

For the magnetization, the calculation gives 0.178 μB/atom. As for the calculated total energy: -56.1 eV per cell. The uncorrected formation energy comes out at 0.429 eV per atom.

It has space group R-3m (No. 166, hexagonal axes), with a = 2.8234 Å, b = 2.8234 Å, c = 27.7088 Å, α = 90.00°, β = 90.00° and γ = 120.00°. The distinct sites, in fractional coordinates, are Si at (0.0000, 0.0000, 0.0000), Ag at (0.0000, 0.0000, 0.2519) and Ru at (0.0000, 0.0000, 0.5000).


Record 11
VASP calculation (PBE) on an optimized crystal structure of NiWAu4.

For the magnetization, the calculation gives 0.335 μB/atom. As for the calculated total energy: -107.3 eV per cell. Its formation energy is 80.69 kJ per mole of atoms.

It has space group F-43m (No. 216), with a = 7.581 Å, b = 7.581 Å, c = 7.581 Å, α = 90.00°, β = 90.00° and γ = 90.00°. The distinct sites, in fractional coordinates, are Ni at (0.000, 0.000, 0.000), W at (0.250, 0.250, 0.750) and Au at (0.125, 0.125, 0.375).